(1)
This record from Alexandria via LeMat-Bulk describes a geometry-optimized CdSiTc2 structure. The functional is PBE.

## Properties
DOS(E_F): 0.93 states/eV per atom
E_form (uncorrected): 417 meV per atom
Calculated total energy: -25.40 eV for the cell shown
Space-group type: C2/m (12)

Cell and atoms, written as CIF:
```
data_CdSiTc2
_chemical_formula_sum 'Cd1 Si1 Tc2'
_cell_length_a 5.148
_cell_length_b 5.196
_cell_length_c 2.789
_cell_angle_alpha 77.22
_cell_angle_beta 84.54
_cell_angle_gamma 118.02
_space_group_name_H-M_alt 'P 1'
_space_group_IT_number 1
_space_group_name_Hall 'P 1'
loop_
_atom_site_label
_atom_site_type_symbol
_atom_site_fract_x
_atom_site_fract_y
_atom_site_fract_z
Cd1 Cd 0.000 0.500 0.500
Si1 Si 0.500 0.500 0.000
Tc1 Tc 0.000 0.000 0.000
Tc2 Tc 0.500 0.000 0.500
```

***

(2)
This record from Alexandria via LeMat-Bulk describes a geometry-optimized CdSiTc2 structure. The functional is PBE.

## Properties
DOS(E_F): 0.81 states/eV per atom
E_form (uncorrected): 214 meV per atom
Calculated total energy: -26.21 eV for the cell shown
Space-group type: C2/m (12)

Cell and atoms, written as CIF:
```
data_CdSiTc2
_chemical_formula_sum 'Cd1 Si1 Tc2'
_cell_length_a 4.535
_cell_length_b 4.535
_cell_length_c 5.229
_cell_angle_alpha 77.21
_cell_angle_beta 77.21
_cell_angle_gamma 37.41
_space_group_name_H-M_alt 'P 1'
_space_group_IT_number 1
_space_group_name_Hall 'P 1'
loop_
_atom_site_label
_atom_site_type_symbol
_atom_site_fract_x
_atom_site_fract_y
_atom_site_fract_z
Cd1 Cd 0.750 0.750 0.750
Si1 Si 0.250 0.250 0.250
Tc1 Tc 0.982 0.982 0.045
Tc2 Tc 0.518 0.518 0.455
```

***

(3)
This record from Alexandria via LeMat-Bulk describes a geometry-optimized CdSi2Tc2 structure. The functional is PBE.

## Properties
DOS(E_F): 0.58 states/eV per atom
E_form (uncorrected): -153 meV per atom
Calculated total energy: -66.52 eV for the cell shown
Space-group type: P4/mbm (127)

Cell and atoms, written as CIF:
```
data_CdSi2Tc2
_chemical_formula_sum 'Cd2 Si4 Tc4'
_cell_length_a 7.156
_cell_length_b 7.156
_cell_length_c 2.965
_cell_angle_alpha 90.00
_cell_angle_beta 90.00
_cell_angle_gamma 90.00
_space_group_name_H-M_alt 'P 1'
_space_group_IT_number 1
_space_group_name_Hall 'P 1'
loop_
_atom_site_label
_atom_site_type_symbol
_atom_site_fract_x
_atom_site_fract_y
_atom_site_fract_z
Si1 Si 0.145 0.645 0.500
Si2 Si 0.645 0.855 0.500
Si3 Si 0.855 0.355 0.500
Si4 Si 0.355 0.145 0.500
Tc1 Tc 0.355 0.855 0.000
Tc2 Tc 0.855 0.645 0.000
Tc3 Tc 0.645 0.145 0.000
Tc4 Tc 0.145 0.355 0.000
Cd1 Cd 0.000 0.000 0.000
Cd2 Cd 0.500 0.500 0.000
```

***

(4)
This record from Alexandria via LeMat-Bulk describes a geometry-optimized CdSiTc3 structure. The functional is PBE.

## Properties
DOS(E_F): 0.62 states/eV per atom
E_form (uncorrected): 2598 meV per atom
Calculated total energy: -24.44 eV for the cell shown
Space-group type: Pm-3m (221)

Cell and atoms, written as CIF:
```
data_CdSiTc3
_chemical_formula_sum 'Cd1 Si1 Tc3'
_cell_length_a 4.894
_cell_length_b 4.894
_cell_length_c 4.894
_cell_angle_alpha 90.00
_cell_angle_beta 90.00
_cell_angle_gamma 90.00
_space_group_name_H-M_alt 'P 1'
_space_group_IT_number 1
_space_group_name_Hall 'P 1'
loop_
_atom_site_label
_atom_site_type_symbol
_atom_site_fract_x
_atom_site_fract_y
_atom_site_fract_z
Si1 Si 0.500 0.500 0.500
Tc1 Tc 0.000 0.500 0.000
Tc2 Tc 0.000 0.000 0.500
Tc3 Tc 0.500 0.000 0.000
Cd1 Cd 0.000 0.000 0.000
```